[1]
A plane-wave DFT calculation with PBE was carried out for MnPb2Se after structural relaxation.

a b c (Å): 9.355 9.355 9.355
angles (deg): 22.30 22.30 22.30
Last column: magnetic moment on the atom in μB.
Fractional coordinates of all 4 atoms:
1 Mn 0.762 0.762 0.762  3.65
2 Pb 0.016 0.016 0.016  -0.07
3 Pb 0.245 0.245 0.245  0.02
4 Se 0.477 0.477 0.477  -0.03

Output
Total magnetization ... 3.8 μB per cell
Raw formation energy ... -0.2 eV/f.u.

=====

[2]
A plane-wave DFT calculation with PBE was carried out for MnPbSe2 after structural relaxation.

a b c (Å): 3.627 3.987 7.158
angles (deg): 78.03 90.00 90.00
Last column: magnetic moment on the atom in μB.
Fractional coordinates of all 4 atoms:
1 Mn 0.500 0.250 0.250  4.03
2 Pb 0.500 0.750 0.750  0.06
3 Se 0.000 0.162 0.016  0.02
4 Se 0.000 0.338 0.484  0.02

Output
Total magnetization ... 4.6 μB per cell
Raw formation energy ... -1.1 eV/f.u.